! Ac6NiOs2Cl3, relaxed, DFT PBE; values from VASP
&SYSTEM
  ibrav = 0, nat = 12, ntyp = 4
/
ATOMIC_SPECIES
Ac 227.00 Ac.upf
Ni 58.69 Ni.upf
Os 190.23 Os.upf
Cl 35.45 Cl.upf
CELL_PARAMETERS angstrom
3.7199 -6.4452 0.0000
3.7199 6.4452 0.0000
-2.4781 0.0000 7.9919
ATOMIC_POSITIONS angstrom
Ac -0.0185 2.1837 6.3719
Ac 1.1969 0.0000 1.6187
Ac -0.0185 -2.1837 6.3719
Ac 4.9801 2.1837 1.6201
Ac 3.7647 0.0000 6.3732
Ac 4.9801 -2.1837 1.6201
Ni 3.7199 0.0000 0.0000
Os 3.7199 4.3005 0.0000
Os 3.7199 -4.3005 0.0000
Cl -1.2391 0.0000 3.9960
Cl 2.4808 2.2126 3.9960
Cl 2.4808 -2.2126 3.9960
! Crystal system ... monoclinic
! Energy relative to the elements, uncorrected ... -897 meV per atom

! Ac4NiOsCl2, relaxed, DFT PBE; values from VASP
&SYSTEM
  ibrav = 0, nat = 8, ntyp = 4
/
ATOMIC_SPECIES
Ac 227.00 Ac.upf
Ni 58.69 Ni.upf
Os 190.23 Os.upf
Cl 35.45 Cl.upf
CELL_PARAMETERS angstrom
7.3966 0.0000 0.0000
0.0000 4.3078 0.0000
-2.4438 0.0000 7.9960
ATOMIC_POSITIONS angstrom
Ac 1.1896 0.0000 1.6405
Ac 0.0028 2.1539 6.4019
Ac 4.9499 2.1539 1.5941
Ac 3.7632 0.0000 6.3555
Ni 3.6983 0.0000 0.0000
Os 0.0000 2.1539 0.0000
Cl -1.2219 0.0000 3.9980
Cl 2.4764 2.1539 3.9980
! Crystal system ... monoclinic
! Energy relative to the elements, uncorrected ... -923 meV per atom

! Ac6Ni2PCl3, relaxed, DFT PBE; values from VASP
&SYSTEM
  ibrav = 0, nat = 12, ntyp = 4
/
ATOMIC_SPECIES
Ac 227.00 Ac.upf
Ni 58.69 Ni.upf
P 30.97 P.upf
Cl 35.45 Cl.upf
CELL_PARAMETERS angstrom
9.7749 -2.1283 0.0000
9.7749 2.1283 0.0000
-2.2582 0.0000 8.9215
ATOMIC_POSITIONS angstrom
Ac -0.3134 0.0000 2.1081
Ac 5.3375 0.0000 3.9944
Ac 4.5501 0.0000 7.9720
Ac 12.7415 0.0000 0.9494
Ac 11.9541 0.0000 4.9271
Ac 17.6050 0.0000 6.8134
Ni 2.5627 0.0000 2.9479
Ni 14.7288 0.0000 5.9736
P 9.7749 0.0000 0.0000
Cl 1.1535 0.0000 7.3579
Cl 8.6458 0.0000 4.4607
Cl 16.1380 0.0000 1.5636
! Crystal system ... monoclinic
! Energy relative to the elements, uncorrected ... -1116 meV per atom

! Ac4NiPCl2, relaxed, DFT PBE; values from VASP
&SYSTEM
  ibrav = 0, nat = 8, ntyp = 4
/
ATOMIC_SPECIES
Ac 227.00 Ac.upf
Ni 58.69 Ni.upf
P 30.97 P.upf
Cl 35.45 Cl.upf
CELL_PARAMETERS angstrom
7.7311 0.0000 0.0000
0.0000 4.2424 0.0000
-2.4534 0.0000 7.4823
ATOMIC_POSITIONS angstrom
Ac 1.0887 0.0000 1.6654
Ac -0.0606 2.1212 5.5472
Ac 5.3383 2.1212 1.9351
Ac 4.1890 0.0000 5.8169
Ni 0.0000 2.1212 0.0000
P -1.2267 0.0000 3.7412
Cl 3.8655 0.0000 0.0000
Cl 2.6389 2.1212 3.7412
! Crystal system ... monoclinic
! Energy relative to the elements, uncorrected ... -1211 meV per atom

! Ac3NiPbCl, relaxed, DFT PBE; values from VASP
&SYSTEM
  ibrav = 0, nat = 12, ntyp = 4
/
ATOMIC_SPECIES
Ac 227.00 Ac.upf
Ni 58.69 Ni.upf
Pb 207.20 Pb.upf
Cl 35.45 Cl.upf
CELL_PARAMETERS angstrom
8.3747 0.0000 0.0000
0.0000 4.6481 0.0000
-3.7535 0.0000 10.1735
ATOMIC_POSITIONS angstrom
Ac -1.0021 1.1620 3.6482
Ac -1.8788 1.1620 9.9118
Ac 1.1934 3.4861 6.3285
Ac 3.4278 1.1620 3.8450
Ac 6.5000 3.4861 0.2617
Ac 5.6234 3.4861 6.5253
Ni -0.7248 1.1620 6.4541
Ni 5.3461 3.4861 3.7194
Pb 1.1878 3.4861 2.2203
Pb 3.4335 1.1620 7.9532
Cl -0.1243 3.4861 9.0758
Cl 4.7456 1.1620 1.0977
! Crystal system ... monoclinic
! Energy relative to the elements, uncorrected ... -703 meV per atom

! Ac4NiPdCl2, relaxed, DFT PBE; values from VASP
&SYSTEM
  ibrav = 0, nat = 8, ntyp = 4
/
ATOMIC_SPECIES
Ac 227.00 Ac.upf
Ni 58.69 Ni.upf
Pd 106.42 Pd.upf
Cl 35.45 Cl.upf
CELL_PARAMETERS angstrom
7.5696 0.0000 0.0000
0.0000 4.3923 0.0000
-2.5297 0.0000 7.9169
ATOMIC_POSITIONS angstrom
Ac 1.2159 0.0000 1.6008
Ac -0.0861 2.1961 6.3080
Ac 5.1260 2.1961 1.6089
Ac 3.8240 0.0000 6.3161
Ni 0.0000 2.1961 0.0000
Pd 3.7848 0.0000 0.0000
Cl -1.2648 0.0000 3.9584
Cl 2.5200 2.1961 3.9584
! Crystal system ... monoclinic
! Energy relative to the elements, uncorrected ... -1057 meV per atom

! AcPrNiCl, relaxed, DFT PBE; values from VASP
&SYSTEM
  ibrav = 0, nat = 12, ntyp = 4
/
ATOMIC_SPECIES
Ac 227.00 Ac.upf
Pr 140.91 Pr.upf
Ni 58.69 Ni.upf
Cl 35.45 Cl.upf
CELL_PARAMETERS angstrom
4.1519 0.0000 0.0000
-2.0759 3.5956 0.0000
0.0000 0.0000 23.4565
ATOMIC_POSITIONS angstrom
Ac 0.0000 0.0000 0.0000
Ac 0.0000 2.3971 15.6377
Ac 2.0759 1.1985 7.8188
Pr 0.0000 0.0000 4.6648
Pr 0.0000 2.3971 20.3024
Pr 2.0759 1.1985 12.4836
Ni 0.0000 0.0000 13.9892
Ni 0.0000 2.3971 6.1703
Ni 2.0759 1.1985 21.8080
Cl 0.0000 0.0000 18.1113
Cl 0.0000 2.3971 10.2924
Cl 2.0759 1.1985 2.4736
! Crystal system ... trigonal
! Energy relative to the elements, uncorrected ... -888 meV per atom

! Ac3NiPtCl, relaxed, DFT PBE; values from VASP
&SYSTEM
  ibrav = 0, nat = 12, ntyp = 4
/
ATOMIC_SPECIES
Ac 227.00 Ac.upf
Ni 58.69 Ni.upf
Pt 195.08 Pt.upf
Cl 35.45 Cl.upf
CELL_PARAMETERS angstrom
8.3573 0.0000 0.0000
0.0000 4.0670 0.0000
-3.7557 0.0000 10.7392
ATOMIC_POSITIONS angstrom
Ac -0.0530 1.0167 4.7000
Ac 1.5339 1.0167 1.0375
Ac -0.8426 3.0502 8.5174
Ac 5.4442 1.0167 2.2219
Ac 3.0677 3.0502 9.7017
Ac 4.6545 3.0502 6.0392
Ni 3.8821 3.0502 0.5277
Ni 0.7195 1.0167 10.2116
Pt -0.5338 3.0502 2.2975
Pt 5.1354 1.0167 8.4417
Cl 1.5782 3.0502 6.6031
Cl 3.0234 1.0167 4.1361
! Crystal system ... monoclinic
! Energy relative to the elements, uncorrected ... -947 meV per atom